[1]
# K2CdGe3Pt4 PBE optimized geometry
data_K2CdGe3Pt4
_chemical_formula_sum 'K2 Cd1 Ge3 Pt4'
_cell_length_a 4.511
_cell_length_b 4.511
_cell_length_c 10.393
_cell_angle_alpha 90.00
_cell_angle_beta 90.00
_cell_angle_gamma 90.00
_symmetry_space_group_name_H-M 'P 1'
_symmetry_Int_Tables_number 1
loop_
_symmetry_equiv_pos_as_xyz
'x,y,z'
loop_
_atom_site_label
_atom_site_type_symbol
_atom_site_fract_x
_atom_site_fract_y
_atom_site_fract_z
_atom_site_occupancy
K1 K 0.500 0.000 0.247 1
K2 K 0.000 0.500 0.753 1
Cd1 Cd 0.500 0.500 0.500 1
Ge1 Ge 0.000 0.000 0.500 1
Ge2 Ge 0.500 0.000 0.884 1
Ge3 Ge 0.000 0.500 0.116 1
Pt1 Pt 0.500 0.500 0.000 1
Pt2 Pt 0.000 0.000 0.000 1
Pt3 Pt 0.500 0.000 0.642 1
Pt4 Pt 0.000 0.500 0.358 1
# - N(E_F) (states/eV per atom) = 0.533
# - space group = P-4m2 (115)
# - crystal system = tetragonal
# - ΔH_f (0 K) (eV/atom) = -0.39

[2]
# YCdOs PBE optimized geometry
data_YCdOs
_chemical_formula_sum 'Y1 Cd1 Os1'
_cell_length_a 3.370
_cell_length_b 3.370
_cell_length_c 6.753
_cell_angle_alpha 90.00
_cell_angle_beta 90.00
_cell_angle_gamma 120.00
_symmetry_space_group_name_H-M 'P 1'
_symmetry_Int_Tables_number 1
loop_
_symmetry_equiv_pos_as_xyz
'x,y,z'
loop_
_atom_site_label
_atom_site_type_symbol
_atom_site_fract_x
_atom_site_fract_y
_atom_site_fract_z
_atom_site_occupancy
Cd1 Cd 0.000 0.000 0.030 1
Os1 Os 0.667 0.333 0.340 1
Y1 Y 0.333 0.667 0.630 1
# - N(E_F) (states/eV per atom) = 0.607
# - space group = P3m1 (156)
# - crystal system = trigonal
# - ΔH_f (0 K) (eV/atom) = 0.39

[3]
# Ac6Hg3Ir2Rh PBE optimized geometry
data_Ac6Hg3Ir2Rh
_chemical_formula_sum 'Ac6 Hg3 Ir2 Rh1'
_cell_length_a 7.528
_cell_length_b 7.528
_cell_length_c 8.570
_cell_angle_alpha 98.40
_cell_angle_beta 98.40
_cell_angle_gamma 120.00
_symmetry_space_group_name_H-M 'P 1'
_symmetry_Int_Tables_number 1
loop_
_symmetry_equiv_pos_as_xyz
'x,y,z'
loop_
_atom_site_label
_atom_site_type_symbol
_atom_site_fract_x
_atom_site_fract_y
_atom_site_fract_z
_atom_site_occupancy
Ac1 Ac 0.934 0.599 0.801 1
Ac2 Ac 0.732 0.732 0.200 1
Ac3 Ac 0.066 0.401 0.199 1
Ac4 Ac 0.599 0.934 0.801 1
Ac5 Ac 0.268 0.268 0.800 1
Ac6 Ac 0.401 0.066 0.199 1
Hg1 Hg 0.167 0.833 0.500 1
Hg2 Hg 0.833 0.167 0.500 1
Hg3 Hg 0.500 0.500 0.500 1
Ir1 Ir 0.333 0.667 0.000 1
Ir2 Ir 0.667 0.333 0.000 1
Rh1 Rh 0.000 0.000 0.000 1
# - N(E_F) (states/eV per atom) = 0.822
# - space group = C2/m (12)
# - crystal system = monoclinic
# - ΔH_f (0 K) (eV/atom) = -0.61

[4]
# ZnTeP PBE optimized geometry
data_ZnTeP
_chemical_formula_sum 'Zn2 Te2 P2'
_cell_length_a 4.291
_cell_length_b 5.319
_cell_length_c 7.374
_cell_angle_alpha 71.77
_cell_angle_beta 75.46
_cell_angle_gamma 79.35
_symmetry_space_group_name_H-M 'P 1'
_symmetry_Int_Tables_number 1
loop_
_symmetry_equiv_pos_as_xyz
'x,y,z'
loop_
_atom_site_label
_atom_site_type_symbol
_atom_site_fract_x
_atom_site_fract_y
_atom_site_fract_z
_atom_site_occupancy
Zn1 Zn 0.481 0.706 0.819 1
Zn2 Zn 0.809 0.041 0.211 1
Te1 Te 0.893 0.014 0.836 1
Te2 Te 0.260 0.370 0.178 1
P1 P 0.608 0.444 0.597 1
P2 P 0.028 0.644 0.423 1
# - distance to the lowest polymorph of the same formula (eV per atom) = 0.034
# - space group = P1 (1)
# - crystal system = triclinic

Across the entries above, total DFT energy (no corrections) takes the values -45.06; -17.44; -57.99; -20.19 eV for the cell shown, respectively.